This record from Alexandria describes LaSm6Dy4 after structural relaxation. The functional is GGA-PBE.

ρ, Mg/m³: 7.15
ΔE_f, eV per atom: 0.38

Cell lengths 7.6866, 7.6866, 8.5865 Å; angles 116.59, 116.59, 90.00 degrees
Closest atoms and distances in Å follow each position.
Fractional positions:
Dy  0.9146  0.9146  0.1557  3 Sm 3.06-3.22, 2 Dy 3.25
Dy  0.7589  0.0854  0.8443  3 Sm 3.06-3.22, 2 Dy 3.25
Dy  0.0854  0.7589  0.8443  3 Sm 3.06-3.22, 2 Dy 3.25
Dy  0.2411  0.2411  0.1557  3 Sm 3.06-3.22, 2 Dy 3.25
Sm  0.0728  0.0728  0.6234  1 Dy 3.22
Sm  0.0000  0.5000  0.0000  4 Dy 3.06
Sm  0.5000  0.0000  0.0000  4 Dy 3.06
Sm  0.5506  0.5506  0.6234  1 Dy 3.22
Sm  0.9272  0.4494  0.3766  1 Dy 3.22
Sm  0.4494  0.9272  0.3766  1 Dy 3.22
La  0.5000  0.5000  0.0000  8 Sm 3.61-3.84, 4 Dy 3.80

=====

This record from Alexandria describes LaSm12Dy5 after structural relaxation. The functional is GGA-PBE.

ρ, Mg/m³: 7.63
ΔE_f, eV per atom: 0.02

Cell lengths 15.3321, 10.8381, 5.1076 Å; angles 90.00, 90.00, 44.98 degrees
Closest atoms and distances in Å follow each position.
Fractional positions:
Dy  0.3334  0.3332  0.0000  4 Dy 3.59-3.61, 8 Sm 3.60
Dy  0.5000  0.0000  0.5000  8 Sm 3.59-3.60, 4 Dy 3.61
Dy  0.8313  0.3374  0.5000  8 Sm 3.58-3.65, 2 Dy 3.59, 2 La 3.63
Dy  0.6666  0.6668  0.0000  4 Dy 3.59-3.61, 8 Sm 3.60
Dy  0.1687  0.6626  0.5000  8 Sm 3.58-3.65, 2 Dy 3.59, 2 La 3.63
La  0.0000  0.0000  0.0000  8 Sm 3.63, 4 Dy 3.63
Sm  0.1680  0.0000  0.4999  8 Sm 3.61-3.62, 2 La 3.63, 2 Dy 3.65
Sm  0.3348  0.0000  0.9998  4 Dy 3.60, 8 Sm 3.61-3.64
Sm  0.6652  0.0000  0.0002  4 Dy 3.60, 8 Sm 3.61-3.64
Sm  0.3347  0.6644  0.9999  8 Sm 3.58-3.64, 3 Dy 3.60-3.62, 1 La 3.63
Sm  0.4989  0.3324  0.5001  4 Dy 3.58-3.60, 8 Sm 3.60-3.66
Sm  0.9991  0.3356  0.9999  8 Sm 3.58-3.64, 3 Dy 3.60-3.62, 1 La 3.63
Sm  0.0009  0.6644  0.0001  8 Sm 3.58-3.64, 3 Dy 3.60-3.62, 1 La 3.63
Sm  0.5011  0.6676  0.4999  4 Dy 3.58-3.60, 8 Sm 3.60-3.66
Sm  0.6653  0.3356  0.0001  8 Sm 3.58-3.64, 3 Dy 3.60-3.62, 1 La 3.63
Sm  0.1687  0.3324  0.4999  4 Dy 3.58-3.60, 8 Sm 3.60-3.66
Sm  0.8313  0.6676  0.5001  4 Dy 3.58-3.60, 8 Sm 3.60-3.66
Sm  0.8320  0.0000  0.5001  8 Sm 3.61-3.62, 2 La 3.63, 2 Dy 3.65

=====

This record from Alexandria describes La12SmDy7 after structural relaxation. The functional is GGA-PBE.

ρ, Mg/m³: 7.01
ΔE_f, eV per atom: 0.19

Cell lengths 8.8776, 8.8776, 8.8776 Å; angles 89.58, 89.58, 89.58 degrees
Closest atoms and distances in Å follow each position.
Fractional positions:
Dy  0.1417  0.3768  0.0606  3 Dy 3.49-3.56, 1 Sm 3.63, 6 La 3.69-3.79
Dy  0.3768  0.0606  0.1417  3 Dy 3.49-3.56, 1 Sm 3.63, 6 La 3.69-3.79
Dy  0.8583  0.6232  0.9394  3 Dy 3.49-3.56, 1 Sm 3.63, 6 La 3.69-3.79
Dy  0.6232  0.9394  0.8583  3 Dy 3.49-3.56, 1 Sm 3.63, 6 La 3.69-3.79
Dy  0.9394  0.8583  0.6232  3 Dy 3.49-3.56, 1 Sm 3.63, 6 La 3.69-3.79
Dy  0.5000  0.5000  0.5000  6 La 3.30
Dy  0.0606  0.1417  0.3768  3 Dy 3.49-3.56, 1 Sm 3.63, 6 La 3.69-3.79
La  0.4824  0.6097  0.1440  4 La 3.22-3.40, 1 Dy 3.30
La  0.8543  0.2665  0.7172  3 La 3.22-3.40
La  0.2828  0.1457  0.7335  3 La 3.22-3.40
La  0.5176  0.3903  0.8560  4 La 3.22-3.40, 1 Dy 3.30
La  0.2665  0.7172  0.8543  3 La 3.22-3.40
La  0.7335  0.2828  0.1457  3 La 3.22-3.40
La  0.1457  0.7335  0.2828  3 La 3.22-3.40
La  0.8560  0.5176  0.3903  4 La 3.22-3.40, 1 Dy 3.30
La  0.1440  0.4824  0.6097  4 La 3.22-3.40, 1 Dy 3.30
La  0.7172  0.8543  0.2665  3 La 3.22-3.40
La  0.3903  0.8560  0.5176  4 La 3.22-3.40, 1 Dy 3.30
La  0.6097  0.1440  0.4824  4 La 3.22-3.40, 1 Dy 3.30
Sm  0.0000  0.0000  0.0000  6 Dy 3.63, 6 La 3.67

=====

This record from Alexandria describes LaSm3Dy4 after structural relaxation. The functional is GGA-PBE.

ρ, Mg/m³: 7.75
ΔE_f, eV per atom: 0.13

Cell lengths 3.4458, 8.9797, 8.9797 Å; angles 81.26, 78.94, 78.94 degrees
Closest atoms and distances in Å follow each position.
Fractional positions:
Sm  0.7579  0.2421  0.2421  6 Dy 3.33-3.69, 2 Sm 3.45, 2 La 3.63
Sm  0.0000  0.5000  0.5000  6 Sm 3.45-3.81, 8 Dy 3.82
Sm  0.2421  0.7579  0.7579  6 Dy 3.33-3.69, 2 Sm 3.45, 2 La 3.63
La  0.5000  0.0000  0.0000  4 Dy 3.43, 2 La 3.45, 4 Sm 3.63
Dy  0.6351  0.1160  0.6139  3 Sm 3.33-3.69, 1 La 3.43, 5 Dy 3.45-3.56
Dy  0.6351  0.6139  0.1160  3 Sm 3.33-3.69, 1 La 3.43, 5 Dy 3.45-3.56
Dy  0.3649  0.8840  0.3861  3 Sm 3.33-3.69, 1 La 3.43, 5 Dy 3.45-3.56
Dy  0.3649  0.3861  0.8840  3 Sm 3.33-3.69, 1 La 3.43, 5 Dy 3.45-3.56

=====

This record from Alexandria describes La3Sm3Dy after structural relaxation. The functional is GGA-PBE.

ρ, Mg/m³: 6.96
ΔE_f, eV per atom: 0.22

Cell lengths 7.2918, 6.6960, 6.6960 Å; angles 107.60, 111.28, 111.28 degrees
Closest atoms and distances in Å follow each position.
Fractional positions:
Sm  0.9698  0.0000  0.3622  5 La 3.39-3.64, 1 Dy 3.40
Sm  0.9698  0.3622  0.0000  5 La 3.39-3.64, 1 Dy 3.40
Sm  0.6076  0.6378  0.6378  5 La 3.39-3.64, 1 Dy 3.40
Dy  0.5012  0.0000  0.0000  3 La 3.07, 3 Sm 3.40
La  0.0166  0.5617  0.5617  1 Dy 3.07, 3 Sm 3.39-3.43
La  0.4550  0.0000  0.4383  1 Dy 3.07, 3 Sm 3.39-3.43
La  0.4550  0.4383  0.0000  1 Dy 3.07, 3 Sm 3.39-3.43

=====

This record from Alexandria describes La2Sm3Dy2 after structural relaxation. The functional is GGA-PBE.

ρ, Mg/m³: 7.25
ΔE_f, eV per atom: 0.12

Cell lengths 3.5560, 8.6947, 9.1103 Å; angles 118.48, 101.25, 90.00 degrees
Closest atoms and distances in Å follow each position.
Fractional positions:
La  0.5653  0.9131  0.1306  3 La 3.34-3.56, 5 Sm 3.52-3.70, 2 Dy 3.70
La  0.4347  0.0869  0.8694  3 La 3.34-3.56, 5 Sm 3.52-3.70, 2 Dy 3.70
Sm  0.2124  0.7964  0.4249  5 Sm 3.40-3.59, 3 La 3.52-3.70, 3 Dy 3.58-3.64
Sm  0.7876  0.2036  0.5751  5 Sm 3.40-3.59, 3 La 3.52-3.70, 3 Dy 3.58-3.64
Sm  0.0000  0.5000  0.0000  4 Sm 3.40-3.56, 2 Dy 3.60, 4 La 3.65
Dy  0.8486  0.6609  0.6972  4 Dy 3.56-3.72, 4 Sm 3.58-3.64, 4 La 3.70-3.84
Dy  0.1514  0.3391  0.3028  4 Dy 3.56-3.72, 4 Sm 3.58-3.64, 4 La 3.70-3.84

=====

| no. | calculated total energy (eV/atom) |
| --- | --- |
| 1 | -4.316 |
| 2 | -4.680 |
| 3 | -4.611 |
| 4 | -4.553 |
| 5 | -4.567 |
| 6 | -4.624 |